[1]
A crystal of BePt2 relaxed with PBEsol, computed with SCAN.

Cell lengths 3.849, 3.849, 3.849 Å; angles 60.00, 60.00, 60.00 degrees
Positions (direct):
Be  0.000  0.000  0.000
Pt  0.250  0.250  0.250
Pt  0.750  0.750  0.750

* E_tot: -48.917 eV/atom
* space group: Fm-3m (225)



[2]
A crystal of MnZn2Os relaxed with PBEsol, computed with SCAN.

Cell lengths 2.608, 4.068, 5.083 Å; angles 90.00, 101.64, 90.00 degrees
Positions (direct):
Mn  0.000  0.000  0.000
Zn  0.335  0.000  0.500
Zn  0.369  0.500  0.761
Os  0.727  0.500  0.262

* E_tot: -29.272 eV/atom
* space group: Pm (6)
* relative energy among the computed polymorphs: 0.42 eV/f.u.



[3]
A crystal of KTe2Rh relaxed with PBEsol, computed with SCAN.

Cell lengths 3.108, 5.267, 5.985 Å; angles 90.00, 90.00, 90.00 degrees
Positions (direct):
K  0.000  0.000  0.000
Te  0.000  0.000  0.500
Te  0.500  0.500  0.000
Rh  0.500  0.500  0.500

* E_tot: -29.063 eV/atom
* space group: Pmmm (47)
* formation energy (no corrections): 0.088 eV/atom



[4]
A crystal of ScAlTl4 relaxed with PBEsol, computed with SCAN.

Cell lengths 6.059, 6.059, 6.059 Å; angles 60.00, 60.00, 60.00 degrees
Positions (direct):
Sc  0.000  0.000  0.000
Al  0.750  0.750  0.750
Tl  0.375  0.375  0.375
Tl  0.375  0.375  0.875
Tl  0.375  0.875  0.375
Tl  0.875  0.375  0.375

* E_tot: -51.552 eV/atom
* space group: F-43m (216)



[5]
A crystal of Be2RhAu relaxed with PBEsol, computed with SCAN.

Cell lengths 4.005, 4.005, 4.005 Å; angles 120.75, 120.75, 88.70 degrees
Positions (direct):
Be  0.250  0.750  0.500
Be  0.750  0.250  0.500
Rh  0.000  0.000  0.000
Au  0.500  0.500  0.000

* E_tot: -28.513 eV/atom
* space group: I4/mmm (139)
* relative energy among the computed polymorphs: 0.11 eV/f.u.



[6]
A crystal of MoOsC3 relaxed with PBEsol, computed with SCAN.

Cell lengths 3.916, 3.916, 3.916 Å; angles 90.00, 90.00, 90.00 degrees
Positions (direct):
Mo  0.000  0.000  0.000
Os  0.500  0.500  0.500
C  0.000  0.500  0.500
C  0.500  0.000  0.500
C  0.500  0.500  0.000

* E_tot: -25.253 eV/atom
* space group: Pm-3m (221)



Q: Which formula does entry 6 have?
A: MoOsC3



Q: Which formula does entry 6 have?
A: MoOsC3



Q: Number 3 is which compound?
A: KTe2Rh



Q: Which formula does entry 2 have?
A: MnZn2Os